Compound: Ba6Mg15Hg8
Source: Alexandria via LeMat-Bulk
Functional: PBE
Structure: optimized geometry

abc: 15.1734 15.1734 15.1734
angles: 90.00 90.00 90.00
Space group Fm-3m (No. 225)
One atom of each set of equivalent atoms:
Ba 0.0000 0.0000 0.2330
Mg 0.0000 0.0000 0.5000
Mg 0.0000 0.2500 0.2500
Mg 0.1738 0.1738 0.1738
Hg 0.1334 0.1334 0.3666

Results
Formation enthalpy at 0 K (eV/atom): -0.24
Final energy (eV/atom): -1.544
DOS at the Fermi energy (states/eV/cell): 83.54
Crystal system: cubic
Magnetic moment (μB per formula unit): 0.30



Compound: BaMg2Hg
Source: Alexandria via LeMat-Bulk
Functional: PBE
Structure: optimized geometry

abc: 12.1824 4.0033 5.8373
angles: 90.00 118.32 90.00
Space group C2/m (No. 12)
One atom of each set of equivalent atoms:
Ba 0.0000 0.0000 0.0000
Mg 0.2085 0.0000 0.7049
Hg 0.0000 0.5000 0.5000

Results
Formation enthalpy at 0 K (eV/atom): -0.14
Final energy (eV/atom): -1.490
DOS at the Fermi energy (states/eV/cell): 3.85
Crystal system: monoclinic
Magnetic moment (μB per formula unit): 0.00



Compound: BaMgHg2
Source: Alexandria via LeMat-Bulk
Functional: PBE
Structure: optimized geometry

abc: 4.7775 4.7775 19.7898
angles: 90.00 90.00 120.00
Space group R3m (No. 160, hexagonal axes)
One atom of each set of equivalent atoms:
Ba 0.0000 0.0000 0.0000
Mg 0.0000 0.0000 0.1852
Hg 0.0000 0.0000 0.5526
Hg 0.0000 0.0000 0.7843

Results
Formation enthalpy at 0 K (eV/atom): -0.32
Final energy (eV/atom): -1.352
DOS at the Fermi energy (states/eV/cell): 8.87
Crystal system: trigonal
Magnetic moment (μB per formula unit): 0.00



Compound: BaMg6Hg4
Source: Alexandria via LeMat-Bulk
Functional: PBE
Structure: optimized geometry

abc: 8.1780 8.1780 4.6692
angles: 90.00 90.00 120.00
Space group P-6m2 (No. 187)
One atom of each set of equivalent atoms:
Ba 0.0000 0.0000 0.0000
Mg 0.2069 0.4138 0.5000
Mg 0.5346 0.0691 0.0000
Hg 0.3333 0.6667 0.0000
Hg 0.3988 0.1994 0.5000

Results
Formation enthalpy at 0 K (eV/atom): -0.30
Final energy (eV/atom): -1.452
DOS at the Fermi energy (states/eV/cell): 5.93
Crystal system: hexagonal
Magnetic moment (μB per formula unit): 0.00



Compound: BaMg2Hg
Source: Alexandria via LeMat-Bulk
Functional: PBE
Structure: optimized geometry

abc: 18.3809 8.3659 6.3509
angles: 90.00 90.00 90.00
Space group Pnma (No. 62)
One atom of each set of equivalent atoms:
Ba 0.1050 0.2500 0.2463
Ba 0.1384 0.7500 0.0367
Mg 0.0382 0.0594 0.7374
Mg 0.2119 0.5596 0.5458
Hg 0.0692 0.7500 0.5325
Hg 0.1849 0.2500 0.7564

Results
Formation enthalpy at 0 K (eV/atom): -0.25
Final energy (eV/atom): -1.607
DOS at the Fermi energy (states/eV/cell): 19.53
Crystal system: orthorhombic
Magnetic moment (μB per formula unit): 0.00



Compound: Ba6Mg5Hg
Source: Alexandria via LeMat-Bulk
Functional: PBE
Structure: optimized geometry

abc: 6.1389 18.4333 8.6486
angles: 90.00 90.00 90.00
Space group Cmmm (No. 65)
One atom of each set of equivalent atoms:
Ba 0.0000 0.0000 0.2415
Ba 0.0000 0.3373 0.2469
Mg 0.0000 0.1672 0.5000
Mg 0.0000 0.1737 0.0000
Mg 0.0000 0.5000 0.5000
Hg 0.0000 0.5000 0.0000

Results
Formation enthalpy at 0 K (eV/atom): -0.13
Final energy (eV/atom): -1.784
DOS at the Fermi energy (states/eV/cell): 18.31
Crystal system: orthorhombic
Magnetic moment (μB per formula unit): 0.00



Compound: BaMgHg4
Source: Alexandria via LeMat-Bulk
Functional: PBE
Structure: optimized geometry

abc: 4.6411 4.6411 8.9683
angles: 90.00 90.00 90.00
Space group P4/mmm (No. 123)
One atom of each set of equivalent atoms:
Ba 0.0000 0.0000 0.0000
Mg 0.5000 0.5000 0.5000
Hg 0.0000 0.5000 0.2989

Results
Formation enthalpy at 0 K (eV/atom): -0.21
Final energy (eV/atom): -0.994
Excess energy over the best structure of this formula in the dataset (meV per atom): 99
DOS at the Fermi energy (states/eV/cell): 2.56
Crystal system: tetragonal
Magnetic moment (μB per formula unit): 0.00



Compound: BaMg2Hg
Source: Alexandria via LeMat-Bulk
Functional: PBE
Structure: optimized geometry

abc: 4.9844 4.9844 18.3461
angles: 90.00 90.00 120.00
Space group R3m (No. 160, hexagonal axes)
One atom of each set of equivalent atoms:
Ba 0.0000 0.0000 0.0000
Mg 0.0000 0.0000 0.5196
Mg 0.0000 0.0000 0.8029
Hg 0.0000 0.0000 0.1978

Results
Formation enthalpy at 0 K (eV/atom): -0.21
Final energy (eV/atom): -1.563
DOS at the Fermi energy (states/eV/cell): 10.01
Crystal system: trigonal
Magnetic moment (μB per formula unit): 0.01